# 1
# FeAgSbOs

An optimized crystal structure of FeAgSbOs (PBE, the Open Quantum Materials Database).

Values from the calculation:
Total magnetization = 2.38 μB/f.u.
Energy = -97.1 eV per cell
Volume = 16.111 Å³ per atom

Cell: 6.3642 6.3642 6.3642 Å, 90.00 90.00 90.00°
Positions (direct):
Fe1 0.0000 0.0000 0.0000
Fe2 0.0000 0.5000 0.5000
Fe3 0.5000 0.0000 0.5000
Fe4 0.5000 0.5000 0.0000
Ag1 0.2500 0.2500 0.2500
Ag2 0.2500 0.7500 0.7500
Ag3 0.7500 0.2500 0.7500
Ag4 0.7500 0.7500 0.2500
Sb1 0.2500 0.2500 0.7500
Sb2 0.2500 0.7500 0.2500
Sb3 0.7500 0.2500 0.2500
Sb4 0.7500 0.7500 0.7500
Os1 0.0000 0.0000 0.5000
Os2 0.0000 0.5000 0.0000
Os3 0.5000 0.0000 0.0000
Os4 0.5000 0.5000 0.5000

---

# 2
# SmScTl

An optimized crystal structure of SmScTl (PBE, the Open Quantum Materials Database).

Values from the calculation:
Total magnetization = 0.01 μB/f.u.
Energy = -28.4 eV per cell
Volume = 26.477 Å³ per atom

Cell: 5.2325 5.2325 6.6998 Å, 90.00 90.00 120.00°
Positions (direct):
Sm1 0.0000 0.0000 0.0000
Sm2 0.0000 0.0000 0.5000
Sc1 0.3333 0.6667 0.2500
Sc2 0.6667 0.3333 0.7500
Tl1 0.3333 0.6667 0.7500
Tl2 0.6667 0.3333 0.2500

---

# 3
# LaBeSbOs

An optimized crystal structure of LaBeSbOs (PBE, the Open Quantum Materials Database).

Values from the calculation:
Total magnetization = 0.00 μB/f.u.
Energy = -87.7 eV per cell
Volume = 20.407 Å³ per atom

Cell: 6.8860 6.8860 6.8860 Å, 90.00 90.00 90.00°
Positions (direct):
La1 0.0000 0.0000 0.0000
La2 0.0000 0.5000 0.5000
La3 0.5000 0.0000 0.5000
La4 0.5000 0.5000 0.0000
Be1 0.0000 0.0000 0.5000
Be2 0.0000 0.5000 0.0000
Be3 0.5000 0.0000 0.0000
Be4 0.5000 0.5000 0.5000
Sb1 0.2500 0.2500 0.7500
Sb2 0.2500 0.7500 0.2500
Sb3 0.7500 0.2500 0.2500
Sb4 0.7500 0.7500 0.7500
Os1 0.2500 0.2500 0.2500
Os2 0.2500 0.7500 0.7500
Os3 0.7500 0.2500 0.7500
Os4 0.7500 0.7500 0.2500

---

# 4
# Zn

An optimized crystal structure of Zn (PBE, the Open Quantum Materials Database).

Values from the calculation:
Energy = -35.3 eV per cell
Energy relative to the elements = 47 meV per atom
Volume = 15.077 Å³ per atom

Cell: 8.2816 8.2816 8.2816 Å, 109.47 109.47 109.47°
Positions (direct):
Zn1 0.0000 0.0000 0.0000
Zn2 0.0000 0.0000 0.3395
Zn3 0.0000 0.3117 0.5820
Zn4 0.0000 0.3395 0.0000
Zn5 0.0000 0.5820 0.3117
Zn6 0.0000 0.6178 0.8097
Zn7 0.0000 0.8097 0.6178
Zn8 0.1903 0.1903 0.8081
Zn9 0.1903 0.8081 0.1903
Zn10 0.1919 0.3822 0.3822
Zn11 0.2703 0.6883 0.6883
Zn12 0.3117 0.0000 0.5820
Zn13 0.3117 0.5820 0.0000
Zn14 0.3395 0.0000 0.0000
Zn15 0.3822 0.1919 0.3822
Zn16 0.3822 0.3822 0.1919
Zn17 0.4180 0.4180 0.7297
Zn18 0.4180 0.7297 0.4180
Zn19 0.5820 0.0000 0.3117
Zn20 0.5820 0.3117 0.0000
Zn21 0.6178 0.0000 0.8097
Zn22 0.6178 0.8097 0.0000
Zn23 0.6605 0.6605 0.6605
Zn24 0.6883 0.2703 0.6883
Zn25 0.6883 0.6883 0.2703
Zn26 0.7297 0.4180 0.4180
Zn27 0.8081 0.1903 0.1903
Zn28 0.8097 0.0000 0.6178
Zn29 0.8097 0.6178 0.0000

---

# 5
# BeB2Ir

An optimized crystal structure of BeB2Ir (PBE, the Open Quantum Materials Database).

Values from the calculation:
Total magnetization = 0.00 μB/f.u.
Energy = -91.3 eV per cell
Volume = 8.928 Å³ per atom

Cell: 5.2275 5.2275 5.2275 Å, 90.00 90.00 90.00°
Positions (direct):
Be1 0.0000 0.0000 0.0000
Be2 0.0000 0.5000 0.5000
Be3 0.5000 0.0000 0.5000
Be4 0.5000 0.5000 0.0000
B1 0.0000 0.0000 0.5000
B2 0.0000 0.5000 0.0000
B3 0.2500 0.2500 0.7500
B4 0.2500 0.7500 0.2500
B5 0.5000 0.0000 0.0000
B6 0.5000 0.5000 0.5000
B7 0.7500 0.2500 0.2500
B8 0.7500 0.7500 0.7500
Ir1 0.2500 0.2500 0.2500
Ir2 0.2500 0.7500 0.7500
Ir3 0.7500 0.2500 0.7500
Ir4 0.7500 0.7500 0.2500

---

# 6
# BeNbCoHg

An optimized crystal structure of BeNbCoHg (PBE, the Open Quantum Materials Database).

Values from the calculation:
Total magnetization = 0.26 μB/f.u.
Energy = -77.6 eV per cell
Volume = 14.725 Å³ per atom

Cell: 6.1762 6.1762 6.1762 Å, 90.00 90.00 90.00°
Positions (direct):
Be1 0.0000 0.0000 0.0000
Be2 0.0000 0.5000 0.5000
Be3 0.5000 0.0000 0.5000
Be4 0.5000 0.5000 0.0000
Nb1 0.2500 0.2500 0.2500
Nb2 0.2500 0.7500 0.7500
Nb3 0.7500 0.2500 0.7500
Nb4 0.7500 0.7500 0.2500
Co1 0.2500 0.2500 0.7500
Co2 0.2500 0.7500 0.2500
Co3 0.7500 0.2500 0.2500
Co4 0.7500 0.7500 0.7500
Hg1 0.0000 0.0000 0.5000
Hg2 0.0000 0.5000 0.0000
Hg3 0.5000 0.0000 0.0000
Hg4 0.5000 0.5000 0.5000

---

# 7
# NpNbPt

An optimized crystal structure of NpNbPt (PBE, the Open Quantum Materials Database).

Values from the calculation:
Total magnetization = 4.14 μB/f.u.
Energy = -112.5 eV per cell
Energy relative to the elements = 266 meV per atom
Volume = 22.510 Å³ per atom

Cell: 6.4642 6.4642 6.4642 Å, 90.00 90.00 90.00°
Positions (direct):
Np1 0.0000 0.0000 0.0000
Np2 0.0000 0.5000 0.5000
Np3 0.5000 0.0000 0.5000
Np4 0.5000 0.5000 0.0000
Nb1 0.0000 0.0000 0.5000
Nb2 0.0000 0.5000 0.0000
Nb3 0.5000 0.0000 0.0000
Nb4 0.5000 0.5000 0.5000
Pt1 0.2500 0.2500 0.7500
Pt2 0.2500 0.7500 0.2500
Pt3 0.7500 0.2500 0.2500
Pt4 0.7500 0.7500 0.7500

---

# 8
# ScInAg2

An optimized crystal structure of ScInAg2 (PBE, the Open Quantum Materials Database).

Values from the calculation:
Total magnetization = 0.00 μB/f.u.
Energy = -15.6 eV per cell
Volume = 20.101 Å³ per atom

Cell: 4.4246 4.4246 4.1070 Å, 90.00 90.00 90.00°
Positions (direct):
Sc1 0.0000 0.0000 0.0000
In1 0.5000 0.5000 0.0000
Ag1 0.0000 0.5000 0.5000
Ag2 0.5000 0.0000 0.5000

---

# 9
# PrInPt

An optimized crystal structure of PrInPt (PBE, the Open Quantum Materials Database).

Values from the calculation:
Total magnetization = 0.00 μB/f.u.
Energy = -46.7 eV per cell
Volume = 23.330 Å³ per atom

Cell: 7.2749 7.2749 4.5812 Å, 90.00 90.00 120.00°
Positions (direct):
Pr1 0.0000 0.5605 0.0000
Pr2 0.4395 0.4395 0.0000
Pr3 0.5605 0.0000 0.0000
In1 0.0000 0.0000 0.0000
In2 0.3333 0.6667 0.5000
In3 0.6667 0.3333 0.5000
Pt1 0.0000 0.2369 0.5000
Pt2 0.2369 0.0000 0.5000
Pt3 0.7631 0.7631 0.5000

---

# 10
# LaGd2In3AgPd2

An optimized crystal structure of LaGd2In3AgPd2 (PBE, the Open Quantum Materials Database).

Values from the calculation:
Total magnetization = 0.01 μB/f.u.
Energy = -41.8 eV per cell
Volume = 23.344 Å³ per atom

Cell: 3.8943 7.8905 7.8905 Å, 119.94 90.00 90.00°
Positions (direct):
La1 0.0000 0.0000 0.0000
Gd1 0.0000 0.1797 0.5888
Gd2 0.0000 0.5888 0.1797
In1 0.5000 0.3288 0.3288
In2 0.5000 0.5839 0.8544
In3 0.5000 0.8544 0.5839
Ag1 0.0000 0.5868 0.5868
Pd1 0.5000 0.2583 0.9209
Pd2 0.5000 0.9209 0.2583

---

# 11
# AgPbSeO

An optimized crystal structure of AgPbSeO (PBE, the Open Quantum Materials Database).

Values from the calculation:
Energy = -31.4 eV per cell
Volume = 21.779 Å³ per atom

Cell: 4.0183 4.0183 12.4599 Å, 90.00 90.00 120.00°
Positions (direct):
Ag1 0.3333 0.6667 0.0000
Ag2 0.6667 0.3333 0.5000
Pb1 0.0000 0.0000 0.2330
Pb2 0.0000 0.0000 0.7330
Se1 0.3333 0.6667 0.3704
Se2 0.6667 0.3333 0.8704
O1 0.0000 0.0000 0.0599
O2 0.0000 0.0000 0.5599

---

# 12
# AgSe

An optimized crystal structure of AgSe (PBE, the Open Quantum Materials Database).

Values from the calculation:
Energy = -25.3 eV per cell
Volume = 20.779 Å³ per atom

Cell: 5.4984 5.4984 5.4984 Å, 90.00 90.00 90.00°
Positions (direct):
Ag1 0.0000 0.0000 0.0000
Ag2 0.0000 0.5000 0.5000
Ag3 0.5000 0.0000 0.5000
Ag4 0.5000 0.5000 0.0000
Se1 0.0000 0.0000 0.5000
Se2 0.0000 0.5000 0.0000
Se3 0.5000 0.0000 0.0000
Se4 0.5000 0.5000 0.5000

---

no.,mass density (g cm⁻³)
1,12.26
2,8.36
3,9.36
4,7.20
5,10.36
6,10.19
7,12.91
8,7.76
9,10.70
10,8.84
11,7.82
12,7.47